Entry 1:
A geometry-optimized PaBiPd structure, computed with PBE.

Unit cell a=5.022 b=8.738 c=6.336 alpha=90.00 beta=90.00 gamma=90.00
Fractional positions:
Bi  0.750  0.583  0.241
Bi  0.250  0.083  0.259
Bi  0.750  0.917  0.741
Bi  0.250  0.417  0.759
Pa  0.750  0.253  0.503
Pa  0.750  0.247  0.003
Pa  0.250  0.753  0.997
Pa  0.250  0.747  0.497
Pd  0.750  0.916  0.215
Pd  0.250  0.084  0.785
Pd  0.750  0.584  0.715
Pd  0.250  0.416  0.285

Output
D(E_F) = 4.32 states/eV/f.u.

***

Entry 2:
A geometry-optimized Pa2BiPd structure, computed with PBE.

Unit cell a=4.888 b=4.368 c=4.368 alpha=90.00 beta=90.00 gamma=90.00
Fractional positions:
Pd  0.500  0.000  0.000
Bi  0.500  0.500  0.500
Pa  0.000  0.000  0.500
Pa  0.000  0.500  0.000

Output
D(E_F) = 7.34 states/eV/f.u.

***

Entry 3:
A geometry-optimized Pa2BiPd structure, computed with PBE.

Unit cell a=4.178 b=4.178 c=7.779 alpha=74.42 beta=74.42 gamma=60.00
Fractional positions:
Pd  0.000  0.000  0.000
Pa  0.264  0.264  0.209
Pa  0.736  0.736  0.791
Bi  0.500  0.500  0.500

Output
D(E_F) = 8.33 states/eV/f.u.

***

The spin magnetization results, record by record, are as follows: 0.7, 0.9, 1.7 μB per formula unit.
The energy of formation from the pure elements results, record by record, are as follows: -0.352, -0.179, -0.128 eV per atom.
The final energy results, record by record, are as follows: -6.542, -7.196, -7.145 eV per atom.